A relaxed structure of LaCr2Cu, computed with GGA-PBE.

Calculated values
* final energy: -24.851 eV per cell
* size of the total moment: 7.7 μB/cell
* ΔE to the lowest computed polymorph: 560 meV/atom
* ΔE_f: 0.8548 eV per atom

The structure in POSCAR format:
```
LaCr2Cu
1.0
-1.313 4.010 8.415
-3.984 2.325 8.206
-1.333 0.962 9.269
Cr Cu La
2 1 1
direct
0.985 0.985 0.985 Cr
0.515 0.515 0.515 Cr
0.250 0.250 0.250 Cu
0.750 0.750 0.750 La
```